Model 1:
The following is a GGA-PBE calculation of a relaxed structure of BiH3Ir, from the Alexandria database.

Unit cell a=5.351 b=4.268 c=5.677 alpha=90.00 beta=101.93 gamma=90.00
Fractional positions:
Bi 0.246 0.250 0.393
Bi 0.754 0.750 0.607
H 0.106 0.750 0.135
H 0.321 0.503 0.891
H 0.321 0.997 0.891
H 0.679 0.003 0.109
H 0.679 0.497 0.109
H 0.894 0.250 0.865
Ir 0.410 0.750 0.140
Ir 0.590 0.250 0.860

Space-group type = P2_1/m (11)
Fermi-level density of states = 0.24 states/eV per atom

Model 2:
The following is a GGA-PBE calculation of a relaxed structure of BiH3Ir, from the Alexandria database.

Unit cell a=3.751 b=3.751 c=3.751 alpha=90.00 beta=90.00 gamma=90.00
Fractional positions:
Bi 0.000 0.000 0.000
H 0.000 0.500 0.500
H 0.500 0.000 0.500
H 0.500 0.500 0.000
Ir 0.500 0.500 0.500

Space-group type = Pm-3m (221)
Fermi-level density of states = 0.20 states/eV per atom

Model 3:
The following is a GGA-PBE calculation of a relaxed structure of BiH3Ir, from the Alexandria database.

Unit cell a=4.035 b=4.035 c=4.035 alpha=90.00 beta=90.00 gamma=90.00
Fractional positions:
Bi 0.000 0.000 0.000
H 0.000 0.000 0.500
H 0.000 0.500 0.000
H 0.500 0.000 0.000
Ir 0.500 0.500 0.500

Space-group type = Pm-3m (221)
Fermi-level density of states = 1.21 states/eV per atom

Quick look at relative energies in meV per atom: model 1 0; model 2 219; model 3 1389.

Model 1:
The following is a GGA-PBE calculation of a relaxed structure of BiH2Ir, from the Alexandria database.

Unit cell a=5.292 b=5.289 c=3.406 alpha=71.27 beta=71.17 gamma=37.56
Fractional positions:
Bi 0.000 0.000 0.000
H 0.253 0.253 0.247
H 0.753 0.753 0.747
Ir 0.313 0.313 0.687

Space-group type = Fmm2 (42)
Fermi-level density of states = 0.35 states/eV per atom

Model 2:
The following is a GGA-PBE calculation of a relaxed structure of BiH2Ir, from the Alexandria database.

Unit cell a=6.228 b=6.228 c=6.228 alpha=138.35 beta=138.35 gamma=60.36
Fractional positions:
Bi 0.375 0.625 0.750
Bi 0.625 0.375 0.250
H 0.000 0.000 0.000
H 0.000 0.000 0.500
H 0.000 0.500 0.000
H 0.500 0.000 0.500
Ir 0.125 0.875 0.250
Ir 0.875 0.125 0.750

Space-group type = I4_1/amd (141)
Fermi-level density of states = 0.28 states/eV per atom

Quick look at relative energies in meV per atom: model 1 0; model 2 157.